## Ga4W (PBE)

Data for an optimized crystal structure of Ga4W.

abc: 5.9005 5.9005 5.9005
angles: 90.00 90.00 90.00
With the nearest neighbours (Å) after each atom.
Space group Im-3m (No. 229)
Symmetry-distinct sites (fractional):
Ga  0.2500  0.2500  0.2500 [8 per cell]  2 W 2.55
W  0.0000  0.0000  0.0000 [2 per cell]  8 Ga 2.55

Its electronic total energy is -5.10 eV/atom. The value obtained for the relative energy among the computed polymorphs is 0.000 eV per atom.

---

## GaW4 (PBE)

Data for an optimized crystal structure of GaW4.

abc: 4.5200 4.5200 4.5200
angles: 90.00 90.00 90.00
With the nearest neighbours (Å) after each atom.
Space group Pm-3m (No. 221)
Symmetry-distinct sites (fractional):
Ga  0.0000  0.0000  0.0000 [1 per cell]  6 W 2.26
W  0.0000  0.0000  0.5000 [3 per cell]  2 Ga 2.26
W  0.5000  0.5000  0.5000 [1 per cell]  12 W 3.20

Its electronic total energy is -9.05 eV/atom.

---

## Y3GaW (PBE)

Data for an optimized crystal structure of Y3GaW.

abc: 5.3539 5.3539 5.3539
angles: 90.00 90.00 90.00
With the nearest neighbours (Å) after each atom.
Space group Pm-3m (No. 221)
Symmetry-distinct sites (fractional):
Y  0.0000  0.0000  0.5000 [3 per cell]  2 Ga 2.68
Ga  0.0000  0.0000  0.0000 [1 per cell]  6 Y 2.68
W  0.5000  0.5000  0.5000 [1 per cell]  12 Y 3.79

Its electronic total energy is -6.13 eV/atom. The value obtained for the relative energy among the computed polymorphs is 0.347 eV per atom.

---

## YGa2W (PBE)

Data for an optimized crystal structure of YGa2W.

abc: 4.4225 4.4225 18.4385
angles: 90.00 90.00 90.00
With the nearest neighbours (Å) after each atom.
Space group I-42d (No. 122)
Symmetry-distinct sites (fractional):
Y  0.0000  0.0000  0.0000 [4 per cell]  4 Ga 3.03, 4 W 3.13
Ga  0.1330  0.2500  0.6250 [8 per cell]  2 Ga 2.50, 2 W 2.62
W  0.0000  0.0000  0.5000 [4 per cell]  4 Ga 2.62

Its electronic total energy is -5.96 eV/atom. The value obtained for the relative energy among the computed polymorphs is 0.347 eV per atom.